# 1
First-principles (PBE-GGA) data for a relaxed Co2SbW crystal, as listed in Alexandria.

Cell: 4.5570 4.5570 4.5570 Å, 128.12 128.10 76.45°
Last column: magnetic moment on the atom in μB.
Atoms (fractional coordinates):
Sb  0.7500  0.2500  0.5000  0.01
W  0.2500  0.7500  0.5000  0.35
Co  0.0000  0.0000  0.0000  0.63
Co  0.5000  0.5000  0.0000  0.63



# 2
First-principles (PBE-GGA) data for a relaxed CoSb3W crystal, as listed in Alexandria.

Cell: 5.2244 5.2244 5.2244 Å, 90.00 90.00 90.00°
Last column: magnetic moment on the atom in μB.
Atoms (fractional coordinates):
Sb  0.5000  0.0000  0.0000  -0.02
Sb  0.0000  0.0000  0.5000  -0.04
Sb  0.0000  0.5000  0.0000  -0.04
W  0.0000  0.0000  0.0000  -0.06
Co  0.5000  0.5000  0.5000  2.06

Output
Polymorph energy (0 for the lowest one), kJ/mol of formula units: 46



# 3
First-principles (PBE-GGA) data for a relaxed Co2SbW crystal, as listed in Alexandria.

Cell: 4.0204 4.0197 3.5596 Å, 90.00 90.00 90.00°
Last column: magnetic moment on the atom in μB.
Atoms (fractional coordinates):
Co  0.0000  0.0000  0.0000  1.00
Co  0.5000  0.5000  0.0000  1.00
W  0.0000  0.5000  0.5000  0.40
Sb  0.5000  0.0000  0.5000  -0.01



# 4
First-principles (PBE-GGA) data for a relaxed Co4SbW crystal, as listed in Alexandria.

Cell: 4.7550 4.7550 4.7550 Å, 60.00 60.00 60.00°
Atoms (fractional coordinates):
Co  0.3742  0.3742  0.8773
Co  0.8773  0.3742  0.3742
Co  0.3742  0.8773  0.3742
Co  0.3742  0.3742  0.3742
Sb  0.7500  0.7500  0.7500
W  0.0000  0.0000  0.0000



# 5
First-principles (PBE-GGA) data for a relaxed CoSbW crystal, as listed in Alexandria.

Cell: 4.3497 4.3497 2.9022 Å, 90.00 90.00 120.00°
Last column: magnetic moment on the atom in μB.
Atoms (fractional coordinates):
W  0.3333  0.6667  0.6667  0.38
Co  0.0000  0.0000  0.1668  0.95
Sb  0.6667  0.3333  0.1665  -0.02

Output
Polymorph energy (0 for the lowest one), kJ/mol of formula units: 35



# 6
First-principles (PBE-GGA) data for a relaxed Co2SbW crystal, as listed in Alexandria.

Cell: 4.1396 2.8874 4.9935 Å, 73.02 90.00 90.00°
Atoms (fractional coordinates):
W  0.5000  0.7807  0.8173
Co  0.0000  0.2058  0.9629
Co  0.5000  0.0408  0.2922
Sb  0.0000  0.4727  0.4276



# 7
First-principles (PBE-GGA) data for a relaxed Co3SbW crystal, as listed in Alexandria.

Cell: 4.4821 4.4821 4.4821 Å, 90.00 90.00 90.00°
Last column: magnetic moment on the atom in μB.
Atoms (fractional coordinates):
W  0.5000  0.5000  0.5000  1.70
Sb  0.0000  0.0000  0.0000  -0.04
Co  0.0000  0.0000  0.5000  0.97
Co  0.5000  0.0000  0.0000  1.28
Co  0.0000  0.5000  0.0000  1.10

Output
Polymorph energy (0 for the lowest one), kJ/mol of formula units: 221



# 8
First-principles (PBE-GGA) data for a relaxed CoSbW2 crystal, as listed in Alexandria.

Cell: 3.2466 3.2466 6.1078 Å, 90.00 90.00 90.00°
Atoms (fractional coordinates):
W  0.0000  0.0000  0.0197
W  0.5000  0.5000  0.2704
Co  0.0000  0.0000  0.4730
Sb  0.5000  0.5000  0.7369



no.,D(E_F) (states/eV/atom),E_form (uncorrected) (kJ/mol of atoms)
1,1.330,31.5
2,2.415,116.9
3,1.099,29.7
4,1.288,22.6
5,0.976,50.3
6,0.950,25.8
7,1.408,171.0
8,0.987,35.1